! Sm2Be2AlRh5 PBE-GGA relaxed; values from VASP
! Raw total energy in eV per atom: -6.52
! Calculated formation energy in eV/f.u.: -7.8
&SYSTEM
  ibrav = 0, nat = 20, ntyp = 4
/
ATOMIC_SPECIES
Sm 150.36 Sm.upf
Be 9.01 Be.upf
Al 26.98 Al.upf
Rh 102.91 Rh.upf
ATOMIC_POSITIONS crystal
Sm 0.000 0.677 0.177
Sm 0.000 0.323 0.823
Sm 0.000 0.177 0.323
Sm 0.000 0.823 0.677
Be 0.000 0.121 0.621
Be 0.000 0.879 0.379
Be 0.000 0.621 0.879
Be 0.000 0.379 0.121
Al 0.000 0.000 0.000
Al 0.000 0.500 0.500
Rh 0.500 0.211 0.066
Rh 0.500 0.789 0.934
Rh 0.500 0.066 0.789
Rh 0.500 0.711 0.434
Rh 0.500 0.934 0.211
Rh 0.500 0.289 0.566
Rh 0.500 0.566 0.711
Rh 0.500 0.434 0.289
Rh 0.500 0.500 0.000
Rh 0.500 0.000 0.500
CELL_PARAMETERS angstrom
3.254 0.000 0.000
0.000 9.697 0.000
0.000 0.000 9.697

=====

! Be2AlSn2Rh5 PBE-GGA relaxed; values from VASP
! Raw total energy in eV per atom: -6.14
! Calculated formation energy in eV/f.u.: -5.5
&SYSTEM
  ibrav = 0, nat = 20, ntyp = 4
/
ATOMIC_SPECIES
Be 9.01 Be.upf
Al 26.98 Al.upf
Sn 118.71 Sn.upf
Rh 102.91 Rh.upf
ATOMIC_POSITIONS crystal
Be 0.000 0.127 0.627
Be 0.000 0.873 0.373
Be 0.000 0.627 0.873
Be 0.000 0.373 0.127
Al 0.000 0.000 0.000
Al 0.000 0.500 0.500
Sn 0.000 0.672 0.172
Sn 0.000 0.328 0.828
Sn 0.000 0.172 0.328
Sn 0.000 0.828 0.672
Rh 0.500 0.201 0.083
Rh 0.500 0.799 0.917
Rh 0.500 0.083 0.799
Rh 0.500 0.701 0.417
Rh 0.500 0.917 0.201
Rh 0.500 0.299 0.583
Rh 0.500 0.583 0.701
Rh 0.500 0.417 0.299
Rh 0.500 0.500 0.000
Rh 0.500 0.000 0.500
CELL_PARAMETERS angstrom
3.166 0.000 0.000
0.000 9.417 0.000
0.000 0.000 9.417

=====

! SrBe2AlRh PBE-GGA relaxed; values from VASP
! Raw total energy in eV per atom: -1.72
! Energy above the lowest structure with this stoichiometry in eV per atom: 0.3588
! Calculated formation energy in eV/f.u.: 11.6
&SYSTEM
  ibrav = 0, nat = 5, ntyp = 4
/
ATOMIC_SPECIES
Sr 87.62 Sr.upf
Rh 102.91 Rh.upf
Al 26.98 Al.upf
Be 9.01 Be.upf
ATOMIC_POSITIONS crystal
Sr 0.000 0.000 0.000
Rh 0.500 0.500 0.500
Al 0.000 0.500 0.000
Be 0.000 0.000 0.500
Be 0.500 0.000 0.000
CELL_PARAMETERS angstrom
4.719 0.000 0.000
0.000 5.440 0.000
0.000 0.000 4.719

=====

! SrBe2AlRh PBE-GGA relaxed; values from VASP
! Raw total energy in eV per atom: -2.08
! Energy above the lowest structure with this stoichiometry in eV per atom: 0.0000
! Calculated formation energy in eV/f.u.: 9.8
&SYSTEM
  ibrav = 0, nat = 5, ntyp = 4
/
ATOMIC_SPECIES
Sr 87.62 Sr.upf
Rh 102.91 Rh.upf
Al 26.98 Al.upf
Be 9.01 Be.upf
ATOMIC_POSITIONS crystal
Sr 0.000 0.000 0.000
Rh 0.000 0.500 0.000
Al 0.500 0.500 0.500
Be 0.000 0.000 0.500
Be 0.500 0.000 0.000
CELL_PARAMETERS angstrom
-2.745 -4.403 0.536
3.933 -2.632 -1.485
1.603 -0.397 4.948

=====

! Ti2Be2AlRh5 PBE-GGA relaxed; values from VASP
! Raw total energy in eV per atom: -7.17
! Calculated formation energy in eV/f.u.: -8.0
&SYSTEM
  ibrav = 0, nat = 20, ntyp = 4
/
ATOMIC_SPECIES
Ti 47.87 Ti.upf
Be 9.01 Be.upf
Al 26.98 Al.upf
Rh 102.91 Rh.upf
ATOMIC_POSITIONS crystal
Ti 0.000 0.674 0.174
Ti 0.000 0.326 0.826
Ti 0.000 0.174 0.326
Ti 0.000 0.826 0.674
Be 0.000 0.125 0.625
Be 0.000 0.875 0.375
Be 0.000 0.625 0.875
Be 0.000 0.375 0.125
Al 0.000 0.000 0.000
Al 0.000 0.500 0.500
Rh 0.500 0.207 0.072
Rh 0.500 0.793 0.928
Rh 0.500 0.072 0.793
Rh 0.500 0.707 0.428
Rh 0.500 0.928 0.207
Rh 0.500 0.293 0.572
Rh 0.500 0.572 0.707
Rh 0.500 0.428 0.293
Rh 0.500 0.500 0.000
Rh 0.500 0.000 0.500
CELL_PARAMETERS angstrom
-0.650 -1.842 2.334
2.657 -7.329 -5.044
8.673 0.960 3.173

=====

! Tm2Be2AlRh5 PBE-GGA relaxed; values from VASP
! Raw total energy in eV per atom: -6.60
! Calculated formation energy in eV/f.u.: -9.1
&SYSTEM
  ibrav = 0, nat = 20, ntyp = 4
/
ATOMIC_SPECIES
Tm 168.93 Tm.upf
Be 9.01 Be.upf
Al 26.98 Al.upf
Rh 102.91 Rh.upf
ATOMIC_POSITIONS crystal
Tm 0.000 0.676 0.176
Tm 0.000 0.324 0.824
Tm 0.000 0.176 0.324
Tm 0.000 0.824 0.676
Be 0.000 0.123 0.623
Be 0.000 0.877 0.377
Be 0.000 0.623 0.877
Be 0.000 0.377 0.123
Al 0.000 0.000 0.000
Al 0.000 0.500 0.500
Rh 0.500 0.210 0.067
Rh 0.500 0.790 0.933
Rh 0.500 0.067 0.790
Rh 0.500 0.710 0.433
Rh 0.500 0.933 0.210
Rh 0.500 0.290 0.567
Rh 0.500 0.567 0.710
Rh 0.500 0.433 0.290
Rh 0.500 0.500 0.000
Rh 0.500 0.000 0.500
CELL_PARAMETERS angstrom
3.163 0.000 0.000
0.000 9.608 0.000
0.000 0.000 9.608

=====

! Be2AlRhW PBE-GGA relaxed; values from VASP
! Raw total energy in eV per atom: -4.97
! Calculated formation energy in eV/f.u.: 6.6
&SYSTEM
  ibrav = 0, nat = 5, ntyp = 4
/
ATOMIC_SPECIES
Be 9.01 Be.upf
Rh 102.91 Rh.upf
Al 26.98 Al.upf
W 183.84 W.upf
ATOMIC_POSITIONS crystal
Be 0.000 0.000 0.500
Be 0.500 0.000 0.000
Rh 0.500 0.500 0.500
Al 0.000 0.000 0.000
W 0.000 0.500 0.000
CELL_PARAMETERS angstrom
-3.837 0.297 -1.332
-1.541 -0.432 4.342
0.154 4.044 0.458

=====

! Y2Be2AlRh5 PBE-GGA relaxed; values from VASP
! Raw total energy in eV per atom: -6.93
! Calculated formation energy in eV/f.u.: -8.5
&SYSTEM
  ibrav = 0, nat = 20, ntyp = 4
/
ATOMIC_SPECIES
Y 88.91 Y.upf
Be 9.01 Be.upf
Al 26.98 Al.upf
Rh 102.91 Rh.upf
ATOMIC_POSITIONS crystal
Y 0.000 0.677 0.177
Y 0.000 0.323 0.823
Y 0.000 0.177 0.323
Y 0.000 0.823 0.677
Be 0.000 0.122 0.622
Be 0.000 0.878 0.378
Be 0.000 0.622 0.878
Be 0.000 0.378 0.122
Al 0.000 0.000 0.000
Al 0.000 0.500 0.500
Rh 0.500 0.210 0.066
Rh 0.500 0.790 0.934
Rh 0.500 0.066 0.790
Rh 0.500 0.710 0.434
Rh 0.500 0.934 0.210
Rh 0.500 0.290 0.566
Rh 0.500 0.566 0.710
Rh 0.500 0.434 0.290
Rh 0.500 0.500 0.000
Rh 0.500 0.000 0.500
CELL_PARAMETERS angstrom
3.190 0.000 0.000
0.000 9.676 0.000
0.000 0.000 9.676

=====

! Be2AlZn2Rh5 PBE-GGA relaxed; values from VASP
! Raw total energy in eV per atom: -5.55
! Calculated formation energy in eV/f.u.: -5.0
&SYSTEM
  ibrav = 0, nat = 20, ntyp = 4
/
ATOMIC_SPECIES
Be 9.01 Be.upf
Al 26.98 Al.upf
Zn 65.41 Zn.upf
Rh 102.91 Rh.upf
ATOMIC_POSITIONS crystal
Be 0.000 0.127 0.627
Be 0.000 0.873 0.373
Be 0.000 0.627 0.873
Be 0.000 0.373 0.127
Al 0.000 0.000 0.000
Al 0.000 0.500 0.500
Zn 0.000 0.673 0.173
Zn 0.000 0.327 0.827
Zn 0.000 0.173 0.327
Zn 0.000 0.827 0.673
Rh 0.500 0.203 0.076
Rh 0.500 0.797 0.924
Rh 0.500 0.076 0.797
Rh 0.500 0.703 0.424
Rh 0.500 0.924 0.203
Rh 0.500 0.297 0.576
Rh 0.500 0.576 0.703
Rh 0.500 0.424 0.297
Rh 0.500 0.500 0.000
Rh 0.500 0.000 0.500
CELL_PARAMETERS angstrom
-1.776 -2.330 -0.621
2.419 -3.995 8.067
-7.105 4.283 4.251

=====

! Be3AlRu PBE-GGA relaxed; values from VASP
! Raw total energy in eV per atom: -4.26
! Energy above the lowest structure with this stoichiometry in eV per atom: 0.0000
! Calculated formation energy in eV/f.u.: 2.9
&SYSTEM
  ibrav = 0, nat = 5, ntyp = 3
/
ATOMIC_SPECIES
Ru 101.07 Ru.upf
Al 26.98 Al.upf
Be 9.01 Be.upf
ATOMIC_POSITIONS crystal
Ru 0.000 0.000 0.000
Al 0.500 0.500 0.500
Be 0.000 0.500 0.000
Be 0.000 0.000 0.500
Be 0.500 0.000 0.000
CELL_PARAMETERS angstrom
4.159 0.000 0.000
0.000 4.159 0.000
0.000 0.000 4.159

=====

! Be2AlRu PBE-GGA relaxed; values from VASP
! Raw total energy in eV per atom: -5.03
! Calculated formation energy in eV/f.u.: 0.3
&SYSTEM
  ibrav = 0, nat = 4, ntyp = 3
/
ATOMIC_SPECIES
Ru 101.07 Ru.upf
Al 26.98 Al.upf
Be 9.01 Be.upf
ATOMIC_POSITIONS crystal
Ru 0.250 0.250 0.250
Al 0.750 0.750 0.750
Be 0.994 0.994 0.994
Be 0.506 0.506 0.506
CELL_PARAMETERS angstrom
7.758 -0.005 -0.003
7.280 2.682 -0.003
7.280 1.296 2.348

=====

! BeAlRu4 PBE-GGA relaxed; values from VASP
! Raw total energy in eV per atom: -6.95
! Calculated formation energy in eV/f.u.: 2.9
&SYSTEM
  ibrav = 0, nat = 6, ntyp = 3
/
ATOMIC_SPECIES
Be 9.01 Be.upf
Al 26.98 Al.upf
Ru 101.07 Ru.upf
ATOMIC_POSITIONS crystal
Be 0.000 0.000 0.000
Al 0.750 0.750 0.750
Ru 0.875 0.375 0.375
Ru 0.375 0.375 0.875
Ru 0.375 0.875 0.375
Ru 0.375 0.375 0.375
CELL_PARAMETERS angstrom
0.000 3.560 3.560
3.560 0.000 3.560
3.560 3.560 0.000